(1)
Pr3HoHg6 | PBE-GGA | optimized geometry

Lattice parameters (Å, degrees): 9.4900 5.2309 11.3534 90.00 106.58 90.00
With the nearest neighbours (Å) after each atom.
Space group P2_1/m (No. 11)
Asymmetric unit:
1 Pr 0.0106 0.2500 0.3849 x2  5 Hg 3.13-3.44
2 Pr 0.1472 0.7500 0.2150 x2  8 Hg 3.18-3.44
3 Pr 0.2754 0.2500 0.9907 x2  11 Hg 3.19-3.56
4 Ho 0.4418 0.2500 0.6002 x2  8 Hg 3.06-3.29
5 Hg 0.0349 0.7500 0.9166 x2  7 Pr 3.25-3.42, 3 Hg 3.40-3.54
6 Hg 0.1712 0.2500 0.6978 x2  1 Ho 3.07, 4 Pr 3.13-3.44, 2 Hg 3.22
7 Hg 0.2697 0.7500 0.5062 x2  3 Ho 3.11-3.29, 2 Pr 3.18-3.24, 1 Hg 3.38
8 Hg 0.3560 0.2500 0.3104 x2  3 Ho 3.16-3.23, 3 Pr 3.27-3.49, 1 Hg 3.43
9 Hg 0.3559 0.7500 0.8164 x2  8 Hg 3.20-3.54, 4 Pr 3.49-3.58
10 Hg 0.4417 0.7500 0.1194 x2  1 Ho 3.06, 4 Pr 3.19-3.27, 3 Hg 3.20-3.30

Summary:
- Density: 11.0 g/cm3
- Formation energy from the elements: -428.0 meV/atom

=====

(2)
Ga3PtRh | PBE-GGA | optimized geometry

Lattice parameters (Å, degrees): 3.7781 7.3043 11.7169 90.00 90.00 90.00
With the nearest neighbours (Å) after each atom.
Space group Immm (No. 71)
Asymmetric unit:
1 Ga 0.0000 0.0000 0.1159 x4  2 Rh 2.63, 2 Pt 2.64, 5 Ga 2.72-2.86
2 Ga 0.0000 0.2103 0.3515 x8  3 Rh 2.56-2.61, 2 Pt 2.57, 2 Ga 2.86
3 Pt 0.0000 0.3103 0.0000 x4  6 Ga 2.57-2.64, 1 Pt 2.77
4 Rh 0.0000 0.5000 0.2279 x4  8 Ga 2.56-2.63

Summary:
- Density: 10.4 g/cm3
- Formation energy from the elements: -555.0 meV/atom
- Distance to the lowest polymorph of the same formula: 0 meV per atom

=====

(3)
Pm2Al3CuPt4 | PBE-GGA | optimized geometry

Lattice parameters (Å, degrees): 4.1465 4.1465 10.9144 90.00 90.00 90.00
With the nearest neighbours (Å) after each atom.
Space group P-4m2 (No. 115)
Asymmetric unit:
1 Pm 0.0000 0.5000 0.2439 x2  8 Pt 3.14-3.48, 6 Al 3.24-3.37, 2 Cu 3.37
2 Al 0.0000 0.0000 0.0000 x1  4 Pt 2.58
3 Al 0.0000 0.5000 0.6303 x2  5 Pt 2.50-2.51
4 Cu 0.5000 0.5000 0.0000 x1  4 Pt 2.58
5 Pt 0.0000 0.0000 0.5000 x1  4 Al 2.51
6 Pt 0.0000 0.5000 0.8590 x2  3 Al 2.50-2.58, 2 Cu 2.58
7 Pt 0.5000 0.5000 0.5000 x1  4 Al 2.51

Summary:
- Density: 10.7 g/cm3
- Formation energy from the elements: -991.0 meV/atom

=====

(4)
Sn2AsHRh6 | PBE-GGA | optimized geometry

Lattice parameters (Å, degrees): 4.4259 4.4259 8.0929 90.00 90.00 90.00
With the nearest neighbours (Å) after each atom.
Space group P4/mmm (No. 123)
Asymmetric unit:
1 Sn 0.0000 0.0000 0.2267 x2  12 Rh 2.87-3.13
2 As 0.5000 0.5000 0.5000 x1  6 Rh 2.21-2.27
3 H 0.5000 0.5000 0.0000 x1  2 Rh 1.77
4 Rh 0.0000 0.5000 0.0000 x2  2 H 2.21
5 Rh 0.0000 0.5000 0.5000 x2  2 As 2.21
6 Rh 0.5000 0.5000 0.2189 x2  1 H 1.77

Summary:
- Density: 9.7 g/cm3
- Uncorrected energy: -6.01 eV per atom

=====

(5)
BaGa2Cu2 | PBE-GGA | optimized geometry

Lattice parameters (Å, degrees): 4.5031 4.5031 10.7467 90.00 90.00 90.00
With the nearest neighbours (Å) after each atom.
Space group I4/mmm (No. 139)
Asymmetric unit:
1 Ba 0.0000 0.0000 0.0000 x2  8 Cu 3.51, 10 Ga 3.58-3.75
2 Ga 0.0000 0.0000 0.3488 x4  4 Cu 2.49
3 Cu 0.0000 0.5000 0.2500 x4  4 Ga 2.49

Summary:
- Density: 6.2 g/cm3
- Formation energy from the elements: -236.1 meV/atom

=====

(6)
SrLaAg2 | PBE-GGA | optimized geometry

Lattice parameters (Å, degrees): 3.8281 3.8281 8.2961 90.00 90.00 90.00
With the nearest neighbours (Å) after each atom.
Space group P4mm (No. 99)
Asymmetric unit:
1 Sr 0.0000 0.0000 0.0000 x1  5 Ag 3.30-3.33
2 La 0.5000 0.5000 0.6125 x1  5 Ag 3.14-3.24
3 Ag 0.0000 0.0000 0.3976 x1  4 Ag 3.03, 4 La 3.24, 1 Sr 3.30
4 Ag 0.5000 0.5000 0.2337 x1  4 Ag 3.03, 1 La 3.14, 4 Sr 3.33

Summary:
- Density: 6.0 g/cm3
- Formation energy from the elements: -113.7 meV/atom

=====

(7)
LaSn2Au | PBE-GGA | optimized geometry

Lattice parameters (Å, degrees): 3.5336 3.5336 31.8781 90.00 90.00 120.00
With the nearest neighbours (Å) after each atom.
Space group R-3m (No. 166, hexagonal axes)
Asymmetric unit:
1 La 0.0000 0.0000 0.0000 x3  2 Sn 3.28, 6 La 3.53
2 Sn 0.0000 0.0000 0.1029 x6  3 Au 2.88
3 Au 0.0000 0.0000 0.5000 x3  6 Sn 2.88

Summary:
- Density: 8.3 g/cm3
- Formation energy from the elements: -26.0 meV/atom

=====

Number 1: calculated volume 270 Å³/f.u.. Number 2: calculated volume 81 Å³/f.u.. Number 3: calculated volume 188 Å³/f.u.. Number 4: calculated volume 159 Å³/f.u.. Number 5: calculated volume 109 Å³/f.u.. Number 6: calculated volume 122 Å³/f.u.. Number 7: calculated volume 115 Å³/f.u..